[1]
The following is a PBE calculation of an optimized crystal structure of K2CuOsCl6, from OQMD.

Cell: 6.889 6.889 6.889 Å, 60.00 60.00 60.00°
Sites, in units of the cell vectors:
K 0.250 0.250 0.250
K 0.750 0.750 0.750
Cu 0.000 0.000 0.000
Os 0.500 0.500 0.500
Cl 0.255 0.255 0.745
Cl 0.255 0.745 0.255
Cl 0.255 0.745 0.745
Cl 0.745 0.255 0.255
Cl 0.745 0.255 0.745
Cl 0.745 0.745 0.255

Computed properties:
Total DFT energy (no corrections) in eV per atom: -3.7353
ρ in g/cm³: 3.91
M_tot in Bohr magnetons per cell: 0.995

[2]
The following is a PBE calculation of an optimized crystal structure of K2CuPbCl6, from OQMD.

Cell: 7.324 7.324 7.324 Å, 60.00 60.00 60.00°
Sites, in units of the cell vectors:
K 0.250 0.250 0.250
K 0.750 0.750 0.750
Cu 0.000 0.000 0.000
Pb 0.500 0.500 0.500
Cl 0.235 0.235 0.765
Cl 0.235 0.765 0.235
Cl 0.235 0.765 0.765
Cl 0.765 0.235 0.235
Cl 0.765 0.235 0.765
Cl 0.765 0.765 0.235

Computed properties:
Total DFT energy (no corrections) in eV per atom: -3.3135
ρ in g/cm³: 3.36

[3]
The following is a PBE calculation of an optimized crystal structure of K2CuSbCl6, from OQMD.

Cell: 7.266 7.266 7.266 Å, 60.00 60.00 60.00°
Sites, in units of the cell vectors:
K 0.250 0.250 0.250
K 0.750 0.750 0.750
Cu 0.000 0.000 0.000
Sb 0.500 0.500 0.500
Cl 0.241 0.241 0.759
Cl 0.241 0.759 0.241
Cl 0.241 0.759 0.759
Cl 0.759 0.241 0.241
Cl 0.759 0.241 0.759
Cl 0.759 0.759 0.241

Computed properties:
Total DFT energy (no corrections) in eV per atom: -3.3069
ρ in g/cm³: 2.91

[4]
The following is a PBE calculation of an optimized crystal structure of K2ScCuCl6, from OQMD.

Cell: 6.985 6.985 6.985 Å, 60.91 60.91 60.91°
Sites, in units of the cell vectors:
K 0.248 0.248 0.248
K 0.752 0.752 0.752
Sc 0.500 0.500 0.500
Cu 0.000 0.000 0.000
Cl 0.195 0.746 0.308
Cl 0.254 0.692 0.805
Cl 0.308 0.195 0.746
Cl 0.692 0.805 0.254
Cl 0.746 0.308 0.195
Cl 0.805 0.254 0.692

Computed properties:
Total DFT energy (no corrections) in eV per atom: -4.0307
ρ in g/cm³: 2.70
M_tot in Bohr magnetons per cell: 0.001

[5]
The following is a PBE calculation of an optimized crystal structure of K2TlCuCl6, from OQMD.

Cell: 7.264 7.264 7.264 Å, 121.13 121.13 88.06°
Sites, in units of the cell vectors:
K 0.250 0.750 0.500
K 0.750 0.250 0.500
Tl 0.000 0.000 0.000
Cu 0.500 0.500 0.000
Cl 0.201 0.680 0.881
Cl 0.258 0.258 0.000
Cl 0.320 0.201 0.521
Cl 0.680 0.799 0.479
Cl 0.742 0.742 0.000
Cl 0.799 0.320 0.119

Computed properties:
ρ in g/cm³: 3.49
Relative energy among the computed polymorphs in meV per atom: 3

[6]
The following is a PBE calculation of an optimized crystal structure of K2TlCuCl6, from OQMD.

Cell: 7.112 7.168 12.396 Å, 90.00 124.78 90.00°
Sites, in units of the cell vectors:
K 0.240 0.046 0.248
K 0.240 0.454 0.748
K 0.760 0.546 0.252
K 0.760 0.954 0.752
Tl 0.500 0.000 0.000
Tl 0.500 0.500 0.500
Cu 0.000 0.000 0.500
Cu 0.000 0.500 0.000
Cl 0.159 0.218 0.967
Cl 0.159 0.282 0.467
Cl 0.248 0.693 0.967
Cl 0.248 0.807 0.467
Cl 0.304 0.007 0.739
Cl 0.304 0.493 0.239
Cl 0.696 0.507 0.761
Cl 0.696 0.993 0.261
Cl 0.752 0.193 0.533
Cl 0.752 0.307 0.033
Cl 0.841 0.718 0.533
Cl 0.841 0.782 0.033

Computed properties:
ρ in g/cm³: 3.58
Relative energy among the computed polymorphs in meV per atom: 0